Crystalline NdZrGa2Pt5 at its relaxed geometry, computed with PBE.

Cell: 4.165 4.165 9.389 Å, 90.00 90.00 90.00°
Fractional positions:
Nd (0.000, 0.000, 0.000)
Zr (0.000, 0.000, 0.500)
Ga (0.500, 0.500, 0.375)
Ga (0.500, 0.500, 0.625)
Pt (0.000, 0.500, 0.233)
Pt (0.000, 0.500, 0.767)
Pt (0.500, 0.000, 0.233)
Pt (0.500, 0.000, 0.767)
Pt (0.500, 0.500, 0.000)

Results
Formation energy from the elements ... -6.493 eV per formula unit
Uncorrected energy ... -6.23 eV per atom
Total magnetic moment ... 0.00 μB/cell
DOS at the Fermi energy ... 0.6977 states/eV/atom